1.
This record from Alexandria via LeMat-Bulk describes a geometry-optimized Ce2CdMo structure. The functional is PBE.

## Properties
The offset from the most stable computed form is 0 meV/atom. The magnetization comes out at 0.0 μB per cell. For the density of states at the Fermi level, the calculation gives 2.10 states/eV/atom. The total energy is -23.3 eV per cell. For the density, the calculation gives 8.3 Mg/m³.

Unit cell a=3.4038 b=3.4038 c=8.4353 alpha=90.00 beta=90.00 gamma=90.00
Sites, in units of the cell vectors:
Mo: 0.5000 0.5000 0.0000
Ce: 0.0000 0.0000 0.7912
Ce: 0.0000 0.0000 0.2088
Cd: 0.5000 0.5000 0.5000

2.
This record from Alexandria via LeMat-Bulk describes a geometry-optimized LiCa2Zn6 structure. The functional is PBE.

## Properties
The magnetization comes out at 0.0 μB per cell. For the density of states at the Fermi level, the calculation gives 0.46 states/eV/atom. The total energy is -15.3 eV per cell. For the density, the calculation gives 4.3 Mg/m³.

Unit cell a=3.4828 b=7.8035 c=7.8035 alpha=60.00 beta=89.99 gamma=89.99
Sites, in units of the cell vectors:
Li: 0.0000 0.0000 0.0000
Ca: 0.0000 0.3333 0.3333
Ca: 0.0000 0.6667 0.6667
Zn: 0.4997 0.6750 0.0000
Zn: 0.5003 0.0000 0.3250
Zn: 0.5003 0.3250 0.0000
Zn: 0.5000 0.6750 0.3250
Zn: 0.4997 0.0000 0.6750
Zn: 0.5000 0.3250 0.6750

3.
This record from Alexandria via LeMat-Bulk describes a geometry-optimized NdHo2Al structure. The functional is PBE.

## Properties
The offset from the most stable computed form is 12 meV/atom. The magnetization comes out at 0.0 μB per cell. For the density of states at the Fermi level, the calculation gives 1.02 states/eV/atom. The total energy is -36.8 eV per cell. For the density, the calculation gives 7.6 Mg/m³.

Unit cell a=5.3127 b=6.9098 c=6.9098 alpha=119.92 beta=90.00 gamma=90.00
Sites, in units of the cell vectors:
Nd: 0.5000 0.6467 0.8227
Nd: 0.5000 0.1773 0.3533
Ho: 0.5000 0.1752 0.8248
Ho: 0.0000 0.3524 0.1731
Ho: 0.0000 0.8269 0.6476
Ho: 0.0000 0.8258 0.1742
Al: 0.5000 0.6679 0.3321
Al: 0.0000 0.3280 0.6720

4.
This record from Alexandria via LeMat-Bulk describes a geometry-optimized Ta2MnAgCl structure. The functional is PBE.

## Properties
The calculation puts the formation energy (no corrections) at 1.16 eV per atom. The magnetization comes out at 3.8 μB per cell. For the density of states at the Fermi level, the calculation gives 0.90 states/eV/atom. The total energy is -31.8 eV per cell. For the density, the calculation gives 9.5 Mg/m³.

Unit cell a=4.5025 b=4.8127 c=4.5025 alpha=90.00 beta=90.00 gamma=90.00
Site moments in Bohr magnetons follow the coordinates.
Sites, in units of the cell vectors:
Cl: 0.0000 0.0000 0.0000  0.00
Mn: 0.5000 0.5000 0.5000  3.94
Ag: 0.0000 0.5000 0.0000  -0.01
Ta: 0.0000 0.0000 0.5000  -0.07
Ta: 0.5000 0.0000 0.0000  -0.14

5.
This record from Alexandria via LeMat-Bulk describes a geometry-optimized LiHgGe structure. The functional is PBE.

## Properties
The offset from the most stable computed form is 10 meV/atom. The magnetization comes out at 0.0 μB per cell. For the density of states at the Fermi level, the calculation gives 0.12 states/eV/atom. The total energy is -14.5 eV per cell. For the density, the calculation gives 7.6 Mg/m³.

Unit cell a=4.7173 b=4.8019 c=6.6811 alpha=73.37 beta=69.33 gamma=60.58
Sites, in units of the cell vectors:
Hg: 0.3147 0.1707 0.1999
Hg: 0.6853 0.8293 0.8001
Ge: 0.6145 0.4761 0.2950
Ge: 0.3855 0.5239 0.7050
Li: 0.9348 0.8069 0.3234
Li: 0.0652 0.1931 0.6766

6.
This record from Alexandria via LeMat-Bulk describes a geometry-optimized Tl2VI5Br structure. The functional is PBE.

## Properties
The calculation puts the formation energy (no corrections) at -0.51 eV per atom. The magnetization comes out at 1.0 μB per cell. For the density of states at the Fermi level, the calculation gives 0.44 states/eV/atom. The total energy is -27.9 eV per cell. For the density, the calculation gives 5.7 Mg/m³.

Unit cell a=7.6860 b=7.6860 c=7.6860 alpha=101.23 beta=113.74 gamma=113.74
Site moments in Bohr magnetons follow the coordinates.
Sites, in units of the cell vectors:
Tl: 0.5000 0.2138 0.7138  0.00
Tl: 0.5000 0.7138 0.2138  0.00
V: 0.0000 0.0070 0.0070  1.25
I: 0.4689 0.2420 0.2420  -0.03
I: 0.5311 0.7731 0.7731  -0.03
I: 0.0000 0.7731 0.2420  -0.03
I: 0.0000 0.2420 0.7731  -0.03
I: 0.0000 0.2744 0.2744  -0.13
Br: 0.0000 0.7607 0.7607  -0.06

7.
This record from Alexandria via LeMat-Bulk describes a geometry-optimized CsSb2F11 structure. The functional is PBE.

## Properties
The calculation puts the formation energy (no corrections) at -2.46 eV per atom. The offset from the most stable computed form is 0 meV/atom. The magnetization comes out at 0.9 μB per cell. For the density of states at the Fermi level, the calculation gives 0.00 states/eV/atom. The total energy is -256.6 eV per cell. For the density, the calculation gives 3.7 Mg/m³.

Unit cell a=14.6968 b=7.8776 c=9.9920 alpha=65.74 beta=90.00 gamma=90.00
Sites, in units of the cell vectors:
Cs: 0.6266 0.7485 0.2735
Cs: 0.3734 0.2515 0.7265
Cs: 0.8734 0.7485 0.7735
Cs: 0.1266 0.2515 0.2265
Sb: 0.9498 0.7329 0.2428
Sb: 0.0502 0.2671 0.7572
Sb: 0.5502 0.7329 0.7428
Sb: 0.8050 0.2790 0.3101
Sb: 0.1950 0.7210 0.6899
Sb: 0.3050 0.7210 0.1899
Sb: 0.6950 0.2790 0.8101
Sb: 0.4498 0.2671 0.2572
F: 0.3551 0.8794 0.0045
F: 0.9511 0.4218 0.6567
F: 0.5214 0.0498 0.3407
F: 0.7424 0.0851 0.2840
F: 0.2576 0.9149 0.7160
F: 0.8724 0.4904 0.3440
F: 0.7576 0.0851 0.7840
F: 0.7946 0.3373 0.9056
F: 0.2424 0.9149 0.2160
F: 0.4786 0.9502 0.6593
F: 0.2054 0.6627 0.0944
F: 0.3381 0.1562 0.3488
F: 0.5489 0.4218 0.1567
F: 0.1449 0.8794 0.5045
F: 0.7337 0.4747 0.6310
F: 0.2337 0.5253 0.8690
F: 0.4511 0.5782 0.8433
F: 0.9681 0.6539 0.0876
F: 0.4141 0.7491 0.2813
F: 0.2946 0.6627 0.5944
F: 0.5827 0.7772 0.9100
F: 0.0319 0.3461 0.9124
F: 0.1619 0.1562 0.8488
F: 0.8551 0.1206 0.4955
F: 0.7054 0.3373 0.4056
F: 0.6276 0.4904 0.8440
F: 0.0827 0.2228 0.5900
F: 0.9786 0.0498 0.8407
F: 0.6449 0.1206 0.9955
F: 0.5859 0.2509 0.7187
F: 0.9173 0.7772 0.4100
F: 0.7663 0.4747 0.1310
F: 0.0489 0.5782 0.3433
F: 0.3724 0.5096 0.1560
F: 0.2663 0.5253 0.3690
F: 0.4681 0.3461 0.4124
F: 0.4173 0.2228 0.0900
F: 0.5319 0.6539 0.5876
F: 0.0214 0.9502 0.1593
F: 0.6619 0.8438 0.6512
F: 0.8381 0.8438 0.1512
F: 0.9141 0.2509 0.2187
F: 0.1276 0.5096 0.6560
F: 0.0859 0.7491 0.7813

8.
This record from Alexandria via LeMat-Bulk describes a geometry-optimized CaPuTlZn structure. The functional is PBE.

## Properties
The magnetization comes out at 5.6 μB per cell. For the density of states at the Fermi level, the calculation gives 2.62 states/eV/atom. The total energy is -20.5 eV per cell. For the density, the calculation gives 8.6 Mg/m³.

Unit cell a=5.3183 b=5.3183 c=5.3183 alpha=60.00 beta=60.00 gamma=60.00
Site moments in Bohr magnetons follow the coordinates.
Sites, in units of the cell vectors:
Tl: 0.5000 0.5000 0.5000  -0.02
Ca: 0.2500 0.2500 0.2500  0.01
Zn: 0.0000 0.0000 0.0000  0.01
Pu: 0.7500 0.7500 0.7500  5.39

9.
This record from Alexandria via LeMat-Bulk describes a geometry-optimized DyY4Th2 structure. The functional is PBE.

## Properties
The offset from the most stable computed form is 709 meV/atom. The magnetization comes out at 2.3 μB per cell. For the density of states at the Fermi level, the calculation gives 1.91 states/eV/atom. The total energy is -39.6 eV per cell. For the density, the calculation gives 6.4 Mg/m³.

Unit cell a=5.4726 b=5.4726 c=9.2913 alpha=107.13 beta=107.13 gamma=90.00
Site moments in Bohr magnetons follow the coordinates.
Sites, in units of the cell vectors:
Dy: 0.0000 0.0000 0.0000  0.30
Y: 0.3807 0.3807 0.7613  0.15
Y: 0.6193 0.6193 0.2387  0.15
Y: 0.0000 0.5000 0.0000  0.14
Y: 0.5000 0.0000 0.0000  0.14
Th: 0.1862 0.1862 0.3725  0.26
Th: 0.8138 0.8138 0.6275  0.26

10.
This record from Alexandria via LeMat-Bulk describes a geometry-optimized MnZnSn3 structure. The functional is PBE.

## Properties
The offset from the most stable computed form is 0 meV/atom. The magnetization comes out at 1.0 μB per cell. For the density of states at the Fermi level, the calculation gives 0.44 states/eV/atom. The total energy is -21.3 eV per cell. For the density, the calculation gives 6.4 Mg/m³.

Unit cell a=4.9829 b=4.9829 c=4.9829 alpha=90.00 beta=90.00 gamma=90.00
Site moments in Bohr magnetons follow the coordinates.
Sites, in units of the cell vectors:
Zn: 0.5000 0.5000 0.5000  -0.01
Mn: 0.0000 0.0000 0.0000  1.03
Sn: 0.0000 0.5000 0.0000  -0.04
Sn: 0.0000 0.0000 0.5000  0.00
Sn: 0.5000 0.0000 0.0000  -0.06